1:
The following is a DFT calculation (PBE) of a geometry-optimized Hf2TcF structure.

```
data_Hf2TcF
_chemical_formula_sum 'Hf8 Tc4 F4'
_cell_length_a 6.4655
_cell_length_b 6.4655
_cell_length_c 6.4655
_cell_angle_alpha 90.00
_cell_angle_beta 90.00
_cell_angle_gamma 90.00
_symmetry_space_group_name_H-M 'F m -3 m'
_symmetry_Int_Tables_number 225
_symmetry_space_group_name_Hall '-F 4 2 3'
loop_
_atom_site_label
_atom_site_type_symbol
_atom_site_fract_x
_atom_site_fract_y
_atom_site_fract_z
Hf1 Hf 0.2500 0.2500 0.2500
Tc1 Tc 0.0000 0.0000 0.0000
F1 F 0.0000 0.0000 0.5000
```

Properties
Its theoretical density is 11648 kg/m³. As for the density of states at the Fermi level: 3.41 states/eV/cell. Its magnetic moment is 0.0 μB/f.u.

2:
The following is a DFT calculation (PBE) of a geometry-optimized Hf2TcF structure.

```
data_Hf2TcF
_chemical_formula_sum 'Hf8 Tc4 F4'
_cell_length_a 6.4715
_cell_length_b 6.4715
_cell_length_c 6.5991
_cell_angle_alpha 90.00
_cell_angle_beta 90.00
_cell_angle_gamma 90.00
_symmetry_space_group_name_H-M 'I -4 2 d'
_symmetry_Int_Tables_number 122
_symmetry_space_group_name_Hall 'I -4 2bw'
loop_
_atom_site_label
_atom_site_type_symbol
_atom_site_fract_x
_atom_site_fract_y
_atom_site_fract_z
Hf1 Hf 0.1953 0.7500 0.1250
Tc1 Tc 0.0000 0.0000 0.5000
F1 F 0.0000 0.0000 0.0000
```

Properties
Its theoretical density is 11391 kg/m³. As for the density of states at the Fermi level: 10.83 states/eV/cell. Its magnetic moment is 0.0 μB/f.u.

Verdict on stability: 1 comes out at the bottom.

1:
The following is a DFT calculation (PBE) of a geometry-optimized Hf2TeF structure.

```
data_Hf2TeF
_chemical_formula_sum 'Hf8 Te4 F4'
_cell_length_a 6.6915
_cell_length_b 6.6915
_cell_length_c 6.6915
_cell_angle_alpha 90.00
_cell_angle_beta 90.00
_cell_angle_gamma 90.00
_symmetry_space_group_name_H-M 'F m -3 m'
_symmetry_Int_Tables_number 225
_symmetry_space_group_name_Hall '-F 4 2 3'
loop_
_atom_site_label
_atom_site_type_symbol
_atom_site_fract_x
_atom_site_fract_y
_atom_site_fract_z
Hf1 Hf 0.2500 0.2500 0.2500
Te1 Te 0.0000 0.0000 0.0000
F1 F 0.0000 0.0000 0.5000
```

Properties
Its theoretical density is 11163 kg/m³. As for the density of states at the Fermi level: 11.77 states/eV/cell. Its magnetic moment is 0.0 μB/f.u.

2:
The following is a DFT calculation (PBE) of a geometry-optimized Hf2TeF structure.

```
data_Hf2TeF
_chemical_formula_sum 'Hf8 Te4 F4'
_cell_length_a 5.0350
_cell_length_b 5.0350
_cell_length_c 14.6065
_cell_angle_alpha 90.00
_cell_angle_beta 90.00
_cell_angle_gamma 90.00
_symmetry_space_group_name_H-M 'I -4 2 d'
_symmetry_Int_Tables_number 122
_symmetry_space_group_name_Hall 'I -4 2bw'
loop_
_atom_site_label
_atom_site_type_symbol
_atom_site_fract_x
_atom_site_fract_y
_atom_site_fract_z
Hf1 Hf 0.1332 0.2500 0.1250
Te1 Te 0.0000 0.0000 0.5000
F1 F 0.0000 0.0000 0.0000
```

Properties
Its theoretical density is 9033 kg/m³. As for the density of states at the Fermi level: 17.84 states/eV/cell. Its magnetic moment is 0.0 μB/f.u.

Verdict on stability: 2 comes out at the bottom.